(1)
A plane-wave DFT calculation with SCAN was carried out for a PBEsol-optimized structure of HfP2RuS.

```
HfP2RuS
1.0
4.388 0.000 0.000
0.000 4.388 0.000
0.000 0.000 4.771
Hf P Ru S
1 2 1 1
direct
0.000 0.000 0.000
0.000 0.500 0.500
0.500 0.000 0.500
0.500 0.500 0.500
0.500 0.500 0.000
```

Values from the calculation:
Magnetization = 0.00 μB/f.u.
DFT total energy = -25.17 eV/atom
Formation energy (no corrections) = 0.41 eV per atom

---

(2)
A plane-wave DFT calculation with SCAN was carried out for a PBEsol-optimized structure of HfTi2PRu.

```
HfTi2PRu
1.0
4.508 0.000 0.000
0.000 4.508 0.000
0.000 0.000 4.984
Hf Ti P Ru
1 2 1 1
direct
0.000 0.000 0.000
0.000 0.500 0.500
0.500 0.000 0.500
0.500 0.500 0.000
0.000 0.000 0.500
```

Values from the calculation:
Magnetization = 0.00 μB/f.u.
DFT total energy = -27.68 eV/atom
Formation energy from the elements = 0.310 eV per atom